The following is a PBE-GGA calculation of Tb4TlAgAu2 after structural relaxation, from Alexandria.

The structure in POSCAR format:
```
Tb4TlAgAu2
1.0
-2.846 0.901 4.245
-0.081 -3.473 3.855
5.653 3.009 6.322
Tb Tl Ag Au
4 1 1 2
direct
0.379 0.379 0.864
0.872 0.872 0.384
0.128 0.128 0.616
0.621 0.621 0.136
0.000 0.000 0.000
0.500 0.500 0.500
0.749 0.749 0.754
0.251 0.251 0.246
```

Computed properties:
* DFT total energy: -4.36 eV per atom
* E_form: -0.573 eV per atom
* space-group type: No. 166
* magnetic moment: 0.00 μB/atom

The following is a PBE-GGA calculation of Li2SmPb2 after structural relaxation, from Alexandria.

The structure in POSCAR format:
```
Li2SmPb2
1.0
5.400 0.000 0.000
-2.700 4.252 -1.588
0.000 0.033 5.264
Li Sm Pb
2 1 2
direct
0.891 0.782 0.259
0.109 0.218 0.741
0.500 0.000 0.000
0.758 0.516 0.682
0.242 0.484 0.318
```

Computed properties:
* DFT total energy: -3.49 eV per atom
* polymorph energy (0 for the lowest one): 0.37 eV/f.u.
* E_form: -0.295 eV per atom
* space-group type: No. 12
* magnetic moment: 0.00 μB/atom

The following is a PBE-GGA calculation of Th4Zn2In5 after structural relaxation, from Alexandria.

The structure in POSCAR format:
```
Th4Zn2In5
1.0
-1.007 3.241 0.750
-2.916 0.826 -7.481
-8.829 -3.654 3.932
Th Zn In
4 2 5
direct
0.500 0.739 0.554
0.500 0.163 0.873
0.500 0.261 0.446
0.500 0.837 0.127
0.000 0.054 0.629
0.000 0.946 0.371
0.000 0.561 0.298
0.000 0.196 0.163
0.000 0.500 0.000
0.000 0.804 0.837
0.000 0.439 0.702
```

Computed properties:
* DFT total energy: -4.45 eV per atom
* E_form: -0.274 eV per atom
* space-group type: No. 10
* magnetic moment: 0.00 μB/atom

The following is a PBE-GGA calculation of TbPuBi2 after structural relaxation, from Alexandria.

The structure in POSCAR format:
```
TbPuBi2
1.0
-2.211 3.293 2.133
-4.503 0.001 0.085
-2.118 -2.971 7.148
Tb Pu Bi
1 1 2
direct
0.498 0.498 0.506
0.669 0.669 0.994
0.082 0.082 0.753
0.251 0.251 0.246
```

Computed properties:
* DFT total energy: -7.18 eV per atom
* polymorph energy (0 for the lowest one): 0.40 eV/f.u.
* E_form: -0.502 eV per atom
* space-group type: No. 160
* magnetic moment: 1.27 μB/atom

Question: Which of these has the lowest DFT total energy?
Answer: TbPuBi2

Question: Which value of E_form does entry 4 give?
Answer: -0.502 eV per atom

Question: The lowest E_form belongs to which entry?
Answer: Tb4TlAgAu2

Please write out number 3 again, unchanged.
The following is a PBE-GGA calculation of Th4Zn2In5 after structural relaxation, from Alexandria.

The structure in POSCAR format:
```
Th4Zn2In5
1.0
-1.007 3.241 0.750
-2.916 0.826 -7.481
-8.829 -3.654 3.932
Th Zn In
4 2 5
direct
0.500 0.739 0.554
0.500 0.163 0.873
0.500 0.261 0.446
0.500 0.837 0.127
0.000 0.054 0.629
0.000 0.946 0.371
0.000 0.561 0.298
0.000 0.196 0.163
0.000 0.500 0.000
0.000 0.804 0.837
0.000 0.439 0.702
```

Computed properties:
* DFT total energy: -4.45 eV per atom
* E_form: -0.274 eV per atom
* space-group type: No. 10
* magnetic moment: 0.00 μB/atom